First-principles (GGA-PBE) data for a relaxed structure of Tm6GaSi2Se3, as listed in Alexandria.

Unit cell a=4.045 b=8.197 c=9.192 alpha=106.57 beta=102.71 gamma=90.00
Fractional coordinates of all 12 atoms:
Ga 0.500 0.000 0.000
Tm 0.671 0.569 0.342
Tm 0.333 0.912 0.666
Tm 0.329 0.431 0.658
Se 0.832 0.171 0.665
Se 0.168 0.829 0.335
Si 0.164 0.325 0.328
Tm 0.667 0.088 0.334
Se 0.500 0.500 0.000
Si 0.836 0.675 0.672
Tm 0.000 0.749 0.000
Tm 0.000 0.251 0.000

Calculated values
The energy relative to the elements, uncorrected comes out at -1.20 eV per atom.